Entry from Alexandria: a geometry-optimized Gd2ScBr structure (PBE-GGA).

Cell lengths 3.4952, 3.4952, 9.2052 Å; angles 90.00, 90.00, 90.00 degrees
Sites, in units of the cell vectors:
Br: 0.5000 0.5000 0.0000
Gd: 0.0000 0.0000 0.2462
Gd: 0.0000 0.0000 0.7538
Sc: 0.5000 0.5000 0.5000

Calculated values
N(E_F)	6.405	states/eV/cell
formation energy without anion corrections	-446	meV/atom
crystal system	tetragonal
offset from the most stable computed form	56	meV/atom
volume	112.5	Å³ per cell
magnetization	15.0	μB/f.u.
calculated density	6.49	g cm⁻³

Entry from Alexandria: a geometry-optimized TiCd3Si structure (PBE-GGA).

Cell lengths 5.2981, 5.2981, 5.2981 Å; angles 90.00, 90.00, 90.00 degrees
Sites, in units of the cell vectors:
Cd: 0.5000 0.0000 0.0000
Cd: 0.0000 0.0000 0.5000
Cd: 0.0000 0.5000 0.0000
Ti: 0.0000 0.0000 0.0000
Si: 0.5000 0.5000 0.5000

Calculated values
N(E_F)	4.257	states/eV/cell
formation energy without anion corrections	1136	meV/atom
crystal system	cubic
offset from the most stable computed form	284	meV/atom
volume	148.7	Å³ per cell
magnetization	1.5	μB/f.u.
calculated density	4.61	g cm⁻³

Entry from Alexandria: a geometry-optimized Sr2CaN2 structure (PBE-GGA).

Cell lengths 7.0924, 7.0924, 19.1854 Å; angles 90.00, 90.00, 144.20 degrees
Sites, in units of the cell vectors:
Ca: 0.1955 0.8045 0.8443
Ca: 0.3045 0.6955 0.3443
Ca: 0.6955 0.3045 0.6557
Ca: 0.8045 0.1955 0.1557
N: 0.8105 0.1895 0.5747
N: 0.0456 0.9544 0.8948
N: 0.1895 0.8105 0.4253
N: 0.4544 0.5456 0.3948
N: 0.3105 0.6895 0.9253
N: 0.5456 0.4544 0.6052
N: 0.9544 0.0456 0.1052
N: 0.6895 0.3105 0.0747
Sr: 0.8582 0.1418 0.9856
Sr: 0.0297 0.9703 0.3600
Sr: 0.5297 0.4703 0.1400
Sr: 0.3582 0.6418 0.5144
Sr: 0.6418 0.3582 0.4856
Sr: 0.4703 0.5297 0.8600
Sr: 0.9703 0.0297 0.6400
Sr: 0.1418 0.8582 0.0144

Calculated values
N(E_F)	23.641	states/eV/cell
formation energy without anion corrections	-375	meV/atom
crystal system	orthorhombic
offset from the most stable computed form	143	meV/atom
volume	564.5	Å³ per cell
magnetization	0.5	μB/f.u.
calculated density	2.86	g cm⁻³

Entry from Alexandria: a geometry-optimized NaPrGd structure (PBE-GGA).

Cell lengths 3.6230, 3.6230, 9.2912 Å; angles 90.00, 90.00, 120.00 degrees
Sites, in units of the cell vectors:
Na: 0.0000 0.0000 0.0022
Pr: 0.3333 0.6667 0.6513
Gd: 0.6667 0.3333 0.3464

Calculated values
N(E_F)	3.672	states/eV/cell
crystal system	trigonal
offset from the most stable computed form	0	meV/atom
volume	105.6	Å³ per cell
energy of formation	0.32	eV per formula unit
magnetization	7.6	μB/f.u.
calculated density	5.05	g cm⁻³

Entry from Alexandria: a geometry-optimized TbPmPr2Th structure (PBE-GGA).

Cell lengths 8.5345, 6.4292, 6.6328 Å; angles 103.34, 90.00, 90.00 degrees
Sites, in units of the cell vectors:
Th: 0.0000 0.0000 0.5000
Th: 0.0000 0.0000 0.0000
Tb: 0.6630 0.0000 0.2500
Tb: 0.3370 0.0000 0.7500
Pm: 0.0942 0.5000 0.7500
Pm: 0.9058 0.5000 0.2500
Pr: 0.3282 0.7179 0.1615
Pr: 0.3282 0.2821 0.3385
Pr: 0.6718 0.7179 0.6615
Pr: 0.6718 0.2821 0.8385

Calculated values
N(E_F)	17.505	states/eV/cell
crystal system	monoclinic
volume	354.1	Å³ per cell
energy of formation	1.19	eV per formula unit
magnetization	0.0	μB/f.u.
calculated density	7.67	g cm⁻³

Entry from Alexandria: a geometry-optimized La6Te3P2N structure (PBE-GGA).

Cell lengths 7.3452, 7.3452, 7.7977 Å; angles 99.09, 99.09, 119.84 degrees
Sites, in units of the cell vectors:
P: 0.3344 0.6656 0.0000
P: 0.6656 0.3344 0.0000
La: 0.6209 0.9324 0.7966
La: 0.9324 0.6209 0.7966
La: 0.2440 0.2440 0.7891
La: 0.3791 0.0676 0.2034
La: 0.7560 0.7560 0.2109
La: 0.0676 0.3791 0.2034
Te: 0.1743 0.8257 0.5000
Te: 0.8257 0.1743 0.5000
Te: 0.5000 0.5000 0.5000
N: 0.0000 0.0000 0.0000

Calculated values
N(E_F)	6.281	states/eV/cell
formation energy without anion corrections	-1546	meV/atom
crystal system	monoclinic
volume	346.3	Å³ per cell
magnetization	0.0	μB/f.u.
calculated density	6.20	g cm⁻³

Question: The lowest calculated density belongs to which entry?
Answer: Sr2CaN2

Question: Which of these has the lowest volume?
Answer: NaPrGd

Question: Which of these has the highest calculated density?
Answer: TbPmPr2Th